No. 1
First-principles (PBE) data for crystalline CuPd2S6 at its relaxed geometry, as listed in Alexandria.

The space group is P-1 (No. 2) and the conventional cell measures 4.6524, 6.4953 and 6.5727 Å, with angles of 60.49, 85.11 and 79.97 degrees. The distinct sites, in fractional coordinates, are Cu at (0.0000, 0.0000, 0.0000), Pd at (0.5000, 0.3374, 0.3256), S at (0.1820, 0.0074, 0.3997), S at (0.1822, 0.4074, 0.6002) and S at (0.2495, 0.6760, 0.0001).

The value obtained for the uncorrected formation energy is -0.05 eV per atom.

***

No. 2
First-principles (PBE) data for crystalline V3HI at its relaxed geometry, as listed in Alexandria.

The space group is Pm-3m (No. 221) and the conventional cell measures 3.9775, 3.9775 and 3.9775 Å, with angles of 90.00, 90.00 and 90.00 degrees. The distinct sites, in fractional coordinates, are V at (0.0000, 0.0000, 0.5000), H at (0.0000, 0.0000, 0.0000) and I at (0.5000, 0.5000, 0.5000).

The energy relative to the lowest polymorph listed for this composition comes out at 0 meV per atom.

***

No. 3
First-principles (PBE) data for crystalline InSiAu at its relaxed geometry, as listed in Alexandria.

The space group is P6_3/mmc (No. 194) and the conventional cell measures 5.0509, 5.0509 and 5.5353 Å, with angles of 90.00, 90.00 and 120.00 degrees. The distinct sites, in fractional coordinates, are In at (0.3333, 0.6667, 0.2500), Si at (0.3333, 0.6667, 0.7500) and Au at (0.0000, 0.0000, 0.0000).

The value obtained for the uncorrected formation energy is 0.37 eV per atom.

***

No. 4
First-principles (PBE) data for crystalline NiPt2Br at its relaxed geometry, as listed in Alexandria.

The space group is F-43m (No. 216) and the conventional cell measures 6.3643, 6.3643 and 6.3643 Å, with angles of 90.00, 90.00 and 90.00 degrees. The distinct sites, in fractional coordinates, are Ni at (0.0000, 0.0000, 0.0000), Pt at (0.0000, 0.0000, 0.5000), Pt at (0.2500, 0.2500, 0.2500) and Br at (0.2500, 0.2500, 0.7500).

The energy relative to the lowest polymorph listed for this composition comes out at 345 meV per atom. The value obtained for the uncorrected formation energy is 0.63 eV per atom.

***

No. 5
First-principles (PBE) data for crystalline Hg2B2W at its relaxed geometry, as listed in Alexandria.

The space group is P4/mbm (No. 127) and the conventional cell measures 7.2184, 7.2184 and 2.9071 Å, with angles of 90.00, 90.00 and 90.00 degrees. The distinct sites, in fractional coordinates, are Hg at (0.1335, 0.3665, 0.0000), B at (0.1818, 0.6818, 0.5000) and W at (0.0000, 0.0000, 0.0000).

The energy relative to the lowest polymorph listed for this composition comes out at 596 meV per atom. Its energy of formation from the pure elements is 1.822 eV per atom.

***

No. 6
First-principles (PBE) data for crystalline HoScPdPb at its relaxed geometry, as listed in Alexandria.

The space group is F-43m (No. 216) and the conventional cell measures 7.1526, 7.1526 and 7.1526 Å, with angles of 90.00, 90.00 and 90.00 degrees. The distinct sites, in fractional coordinates, are Ho at (0.0000, 0.0000, 0.0000), Sc at (0.0000, 0.0000, 0.5000), Pd at (0.2500, 0.2500, 0.7500) and Pb at (0.2500, 0.2500, 0.2500).

Its energy of formation from the pure elements is -0.584 eV per atom.